NaBeCrO4 | GGA+U | relaxed

abc: 4.8640 5.3142 6.7680
angles: 90.00 119.48 90.00
Sites, in units of the cell vectors:
Na 0.6022 0.7500 0.9370
Na 0.3978 0.2500 0.0630
Be 0.2424 0.7500 0.3445
Be 0.7576 0.2500 0.6555
Cr 0.8107 0.7500 0.4779
Cr 0.1893 0.2500 0.5221
O 0.0111 0.4744 0.6757
O 0.9889 0.9744 0.3243
O 0.9889 0.5256 0.3243
O 0.0111 0.0256 0.6757
O 0.4367 0.7500 0.2080
O 0.5633 0.2500 0.7920
O 0.5478 0.7500 0.5926
O 0.4522 0.2500 0.4074

Summary:
Electronic total energy: -88.0 eV per cell